CdCu14Ni | PBE-GGA | relaxed

Geometry as CIF:
```
data_CdCu14Ni
_chemical_formula_sum 'Cd2 Cu28 Ni2'
_symmetry_space_group_name_H-M 'A m m 2'
_symmetry_Int_Tables_number 38
_symmetry_space_group_name_Hall 'A 2 -2'
_cell_length_a 8.431
_cell_length_b 5.212
_cell_length_c 9.038
_cell_angle_alpha 90.00
_cell_angle_beta 90.00
_cell_angle_gamma 90.00
loop_
_atom_site_label
_atom_site_type_symbol
_atom_site_fract_x
_atom_site_fract_y
_atom_site_fract_z
Cd1 Cd 0.000 0.000 0.000
Cu1 Cu 0.000 0.248 0.251
Cu2 Cu 0.248 0.000 0.665
Cu3 Cu 0.257 0.244 0.415
Cu4 Cu 0.258 0.000 0.170
Cu5 Cu 0.500 0.000 0.333
Cu6 Cu 0.500 0.000 0.831
Cu7 Cu 0.500 0.249 0.583
Ni1 Ni 0.000 0.000 0.499
```

Values from the calculation:
- ΔH_f (0 K) (eV per atom) = 0.04

LiReBr2 | PBE-GGA | relaxed

Geometry as CIF:
```
data_LiReBr2
_chemical_formula_sum 'Li2 Re2 Br4'
_symmetry_space_group_name_H-M 'C 1 2/m 1'
_symmetry_Int_Tables_number 12
_symmetry_space_group_name_Hall '-C 2y'
_cell_length_a 7.753
_cell_length_b 3.311
_cell_length_c 5.984
_cell_angle_alpha 90.00
_cell_angle_beta 103.37
_cell_angle_gamma 90.00
loop_
_atom_site_label
_atom_site_type_symbol
_atom_site_fract_x
_atom_site_fract_y
_atom_site_fract_z
Li1 Li 0.000 0.000 0.000
Re1 Re 0.000 0.500 0.500
Br1 Br 0.248 0.000 0.728
```

Values from the calculation:
- ΔE_f (raw) (kJ per mole of atoms) = 37
- energy above the lowest structure with this stoichiometry (meV/atom) = 247

Tb2Co2Si2H | PBE-GGA | relaxed

Geometry as CIF:
```
data_Tb2Co2Si2H
_chemical_formula_sum 'Tb4 Co4 Si4 H2'
_symmetry_space_group_name_H-M 'C 1 2/m 1'
_symmetry_Int_Tables_number 12
_symmetry_space_group_name_Hall '-C 2y'
_cell_length_a 10.269
_cell_length_b 3.992
_cell_length_c 6.820
_cell_angle_alpha 90.00
_cell_angle_beta 130.84
_cell_angle_gamma 90.00
loop_
_atom_site_label
_atom_site_type_symbol
_atom_site_fract_x
_atom_site_fract_y
_atom_site_fract_z
Tb1 Tb 0.055 0.000 0.291
Co1 Co 0.205 0.500 0.096
Si1 Si 0.163 0.500 0.715
H1 H 0.000 0.500 0.000
```

Values from the calculation:
- E (hartree per atom) = -0.2227

Sr2ScBr | PBE-GGA | relaxed

Geometry as CIF:
```
data_Sr2ScBr
_chemical_formula_sum 'Sr8 Sc4 Br4'
_symmetry_space_group_name_H-M 'F m -3 m'
_symmetry_Int_Tables_number 225
_symmetry_space_group_name_Hall '-F 4 2 3'
_cell_length_a 8.541
_cell_length_b 8.541
_cell_length_c 8.541
_cell_angle_alpha 90.00
_cell_angle_beta 90.00
_cell_angle_gamma 90.00
loop_
_atom_site_label
_atom_site_type_symbol
_atom_site_fract_x
_atom_site_fract_y
_atom_site_fract_z
Sr1 Sr 0.250 0.250 0.250
Sc1 Sc 0.000 0.000 0.000
Br1 Br 0.000 0.000 0.500
```

Values from the calculation:
- ΔE_f (raw) (kJ per mole of atoms) = -1
- energy above the lowest structure with this stoichiometry (meV/atom) = 515

Ho2MgPb | PBE-GGA | relaxed

Geometry as CIF:
```
data_Ho2MgPb
_chemical_formula_sum 'Ho2 Mg1 Pb1'
_symmetry_space_group_name_H-M 'P 4/m m m'
_symmetry_Int_Tables_number 123
_symmetry_space_group_name_Hall '-P 4 2'
_cell_length_a 3.910
_cell_length_b 3.910
_cell_length_c 7.100
_cell_angle_alpha 90.00
_cell_angle_beta 90.00
_cell_angle_gamma 90.00
loop_
_atom_site_label
_atom_site_type_symbol
_atom_site_fract_x
_atom_site_fract_y
_atom_site_fract_z
Ho1 Ho 0.000 0.000 0.247
Mg1 Mg 0.500 0.500 0.000
Pb1 Pb 0.500 0.500 0.500
```

Values from the calculation:
- ΔH_f (0 K) (eV per atom) = -0.27

SrRe2Ru | PBE-GGA | relaxed

Geometry as CIF:
```
data_SrRe2Ru
_chemical_formula_sum 'Sr2 Re4 Ru2'
_symmetry_space_group_name_H-M 'C 1 m 1'
_symmetry_Int_Tables_number 8
_symmetry_space_group_name_Hall 'C -2y'
_cell_length_a 9.226
_cell_length_b 3.032
_cell_length_c 6.074
_cell_angle_alpha 90.00
_cell_angle_beta 103.17
_cell_angle_gamma 90.00
loop_
_atom_site_label
_atom_site_type_symbol
_atom_site_fract_x
_atom_site_fract_y
_atom_site_fract_z
Sr1 Sr 0.000 0.000 0.000
Re1 Re 0.212 0.000 0.630
Re2 Re 0.494 0.000 0.502
Ru1 Ru 0.275 0.500 0.322
```

Values from the calculation:
- ΔH_f (0 K) (eV per atom) = 0.66
- energy above the lowest structure with this stoichiometry (meV/atom) = 64

no.,magnetic moment (Bohr magnetons per cell)
1,0.0
2,0.0
3,0.0
4,0.0
5,0.0
6,0.0